Computed, not measured: a relaxed Gd2CoPd crystal at the PBE-GGA level of DFT.

energy of formation from the pure elements: -481 meV/atom
energy: -10.596 eV per atom
M_tot: 13.689 μB/f.u.

Cell lengths 3.4389, 3.4389, 7.0011 Å; angles 90.00, 90.00, 90.00 degrees
Last column: nearest neighbours and their distance in Å.
Sites, in units of the cell vectors:
Gd1 0.0000 0.0000 0.2377  4 Co 2.95, 4 Pd 3.05
Gd2 0.0000 0.0000 0.7623  4 Co 2.95, 4 Pd 3.05
Co1 0.5000 0.5000 0.0000  8 Gd 2.95
Pd1 0.5000 0.5000 0.5000  8 Gd 3.05

---

Computed, not measured: a relaxed PmGdCoPd crystal at the PBE-GGA level of DFT.

energy of formation from the pure elements: -396 meV/atom
energy: -8.179 eV per atom
M_tot: 6.808 μB/f.u.

Cell lengths 4.9442, 4.9442, 4.9442 Å; angles 60.00, 60.00, 60.00 degrees
Last column: nearest neighbours and their distance in Å.
Sites, in units of the cell vectors:
Pm1 0.0000 0.0000 0.0000  4 Co 3.03, 4 Pd 3.03
Gd1 0.5000 0.5000 0.5000  4 Pd 3.03, 4 Co 3.03
Co1 0.7500 0.7500 0.7500  4 Gd 3.03, 4 Pm 3.03
Pd1 0.2500 0.2500 0.2500  4 Gd 3.03, 4 Pm 3.03

---

Computed, not measured: a relaxed PrGdCoPd crystal at the PBE-GGA level of DFT.

energy of formation from the pure elements: -358 meV/atom
energy: -8.148 eV per atom
M_tot: 6.736 μB/f.u.

Cell lengths 4.9835, 4.9835, 4.9835 Å; angles 60.00, 60.00, 60.00 degrees
Last column: nearest neighbours and their distance in Å.
Sites, in units of the cell vectors:
Pr1 0.0000 0.0000 0.0000  4 Co 3.05, 4 Pd 3.05
Gd1 0.5000 0.5000 0.5000  4 Pd 3.05, 4 Co 3.05
Co1 0.2500 0.2500 0.2500  4 Gd 3.05, 4 Pr 3.05
Pd1 0.7500 0.7500 0.7500  4 Gd 3.05, 4 Pr 3.05

---

Computed, not measured: a relaxed GdPuCoPd crystal at the PBE-GGA level of DFT.

energy of formation from the pure elements: -235 meV/atom
energy: -10.413 eV per atom
M_tot: 2.005 μB/f.u.

Cell lengths 4.8779, 4.8779, 4.8779 Å; angles 60.00, 60.00, 60.00 degrees
Last column: nearest neighbours and their distance in Å.
Sites, in units of the cell vectors:
Gd1 0.0000 0.0000 0.0000  4 Pd 2.99, 4 Co 2.99
Pu1 0.5000 0.5000 0.5000  4 Co 2.99, 4 Pd 2.99
Co1 0.2500 0.2500 0.2500  4 Gd 2.99, 4 Pu 2.99
Pd1 0.7500 0.7500 0.7500  4 Gd 2.99, 4 Pu 2.99

---

Computed, not measured: a relaxed GdCoSnPd crystal at the PBE-GGA level of DFT.

energy of formation from the pure elements: -464 meV/atom
energy: -8.060 eV per atom
M_tot: 5.854 μB/f.u.

Cell lengths 4.7326, 4.7326, 4.7326 Å; angles 60.00, 60.00, 60.00 degrees
Last column: nearest neighbours and their distance in Å.
Sites, in units of the cell vectors:
Gd1 0.0000 0.0000 0.0000  4 Co 2.90, 4 Pd 2.90
Co1 0.7500 0.7500 0.7500  4 Gd 2.90, 4 Sn 2.90
Sn1 0.5000 0.5000 0.5000  4 Co 2.90, 4 Pd 2.90
Pd1 0.2500 0.2500 0.2500  4 Gd 2.90, 4 Sn 2.90

---

Computed, not measured: a relaxed GdThCoPd crystal at the PBE-GGA level of DFT.

energy of formation from the pure elements: -394 meV/atom
energy: -8.844 eV per atom
M_tot: 6.685 μB/f.u.

Cell lengths 4.9768, 4.9768, 4.9768 Å; angles 60.00, 60.00, 60.00 degrees
Last column: nearest neighbours and their distance in Å.
Sites, in units of the cell vectors:
Gd1 0.0000 0.0000 0.0000  4 Co 3.05, 4 Pd 3.05
Th1 0.5000 0.5000 0.5000  4 Co 3.05, 4 Pd 3.05
Co1 0.7500 0.7500 0.7500  4 Gd 3.05, 4 Th 3.05
Pd1 0.2500 0.2500 0.2500  4 Gd 3.05, 4 Th 3.05

---

Computed, not measured: a relaxed PmGdCo2 crystal at the PBE-GGA level of DFT.

energy of formation from the pure elements: -28 meV/atom
energy: -8.289 eV per atom
M_tot: 7.647 μB/f.u.

Cell lengths 4.8051, 4.8051, 4.8051 Å; angles 60.00, 60.00, 60.00 degrees
Last column: nearest neighbours and their distance in Å.
Sites, in units of the cell vectors:
Pm1 0.0000 0.0000 0.0000  8 Co 2.94
Gd1 0.5000 0.5000 0.5000  8 Co 2.94
Co1 0.2500 0.2500 0.2500  4 Gd 2.94, 4 Pm 2.94
Co2 0.7500 0.7500 0.7500  4 Gd 2.94, 4 Pm 2.94

---

Computed, not measured: a relaxed PmGdCo crystal at the PBE-GGA level of DFT.

energy of formation from the pure elements: -3 meV/atom
energy: -8.649 eV per atom
M_tot: 7.299 μB/f.u.

Cell lengths 4.7626, 4.7626, 4.7626 Å; angles 60.00, 60.00, 60.00 degrees
Last column: nearest neighbours and their distance in Å.
Sites, in units of the cell vectors:
Pm1 0.0000 0.0000 0.0000  4 Co 2.92
Gd1 0.5000 0.5000 0.5000  4 Co 2.92
Co1 0.7500 0.7500 0.7500  4 Gd 2.92, 4 Pm 2.92

---

| no. | N(E_F) (states/eV per cell) |
| --- | --- |
| 1 | 2.052 |
| 2 | 3.021 |
| 3 | 3.044 |
| 4 | 12.659 |
| 5 | 3.374 |
| 6 | 4.536 |
| 7 | 0.779 |
| 8 | 2.879 |